a:
Computed, not measured: a relaxed structure of Cd5In2Ga at the PBE level of DFT.

abc: 5.0127 6.6990 6.6990
angles: 90.00 90.00 90.00
Fractional positions:
In 0.5000 0.0000 0.5000
In 0.5000 0.5000 0.0000
Cd 0.0000 0.7136 0.2864
Ga 0.0000 0.0000 0.0000
Cd 0.5000 0.0000 0.0000
Cd 0.0000 0.2864 0.2864
Cd 0.0000 0.2864 0.7136
Cd 0.0000 0.7136 0.7136

***

b:
Computed, not measured: a relaxed structure of Cd5In2Ga at the PBE level of DFT.

abc: 5.5485 5.7768 8.2365
angles: 67.49 57.98 97.65
Fractional positions:
In 0.4380 0.9566 0.6436
Cd 0.9489 0.4465 0.1344
In 0.8527 0.5905 0.5075
Cd 0.6116 0.8432 0.2445
Cd 0.7001 0.7176 0.8895
Cd 0.2079 0.2145 0.3839
Ga 0.1094 0.3485 0.7471
Cd 0.3543 0.1056 0.0035

***

Quick look at relative energies in eV/atom: a 0.154; b 0.000.

***

a:
Computed, not measured: a relaxed structure of Cd2In4Ga at the PBE level of DFT.

abc: 3.3062 3.3062 18.4812
angles: 84.87 84.87 60.00
Fractional positions:
In 0.2872 0.2872 0.1384
In 0.1419 0.1419 0.5743
Cd 0.4274 0.4274 0.7177
Cd 0.5726 0.5726 0.2823
In 0.8581 0.8581 0.4257
In 0.7128 0.7128 0.8616
Ga 0.0000 0.0000 0.0000

***

b:
Computed, not measured: a relaxed structure of Cd2In4Ga at the PBE level of DFT.

abc: 8.1117 8.1117 6.3775
angles: 129.49 129.49 90.00
Fractional positions:
Ga 0.5000 0.5000 0.0000
Cd 0.7500 0.2500 0.5000
In 0.1932 0.1932 0.0008
In 0.1924 0.8068 0.9992
In 0.8068 0.1924 0.9992
In 0.8076 0.8076 0.0008
Cd 0.2500 0.7500 0.5000

***

Quick look at relative energies in eV/atom: a 0.000; b 0.052.

***

a:
Computed, not measured: a relaxed structure of CdInGa4 at the PBE level of DFT.

abc: 2.9836 5.4294 8.6545
angles: 108.28 105.80 90.00
Fractional positions:
Ga 0.4622 0.6232 0.7455
Cd 0.7680 0.2197 0.4395
Ga 0.6390 0.5445 0.0890
In 0.1453 0.0346 0.0692
Ga 0.2732 0.7057 0.4114
Ga 0.4622 0.1223 0.7455

***

b:
Computed, not measured: a relaxed structure of CdInGa4 at the PBE level of DFT.

abc: 5.6977 5.6977 5.6977
angles: 60.00 60.00 60.00
Fractional positions:
Ga 0.6254 0.6254 0.1237
Ga 0.6254 0.6254 0.6254
Ga 0.1237 0.6254 0.6254
Cd 0.0000 0.0000 0.0000
In 0.2500 0.2500 0.2500
Ga 0.6254 0.1237 0.6254

***

Quick look at relative energies in eV/atom: a 0.000; b 0.034.

***

a:
Computed, not measured: a relaxed structure of CdInGa2Ir at the PBE level of DFT.

abc: 4.8057 4.8057 5.3410
angles: 90.00 90.00 90.00
Fractional positions:
Cd 0.0000 0.0000 0.5000
Ir 0.0000 0.0000 0.0000
In 0.5000 0.5000 0.5000
Ga 0.5000 0.0000 0.0000
Ga 0.0000 0.5000 0.0000

***

b:
Computed, not measured: a relaxed structure of CdInGa2Ir at the PBE level of DFT.

abc: 4.8484 4.8484 5.2613
angles: 90.00 90.00 90.00
Fractional positions:
Cd 0.5000 0.5000 0.5000
In 0.0000 0.0000 0.5000
Ir 0.0000 0.0000 0.0000
Ga 0.0000 0.5000 0.0000
Ga 0.5000 0.0000 0.0000

***

Quick look at relative energies in eV/atom: a 0.050; b 0.000.

***

a:
Computed, not measured: a relaxed structure of MgCdInGa at the PBE level of DFT.

abc: 5.0259 5.0259 5.0259
angles: 60.00 60.00 60.00
Fractional positions:
In 0.5000 0.5000 0.5000
Cd 0.7500 0.7500 0.7500
Mg 0.0000 0.0000 0.0000
Ga 0.2500 0.2500 0.2500

***

b:
Computed, not measured: a relaxed structure of MgCdInGa at the PBE level of DFT.

abc: 4.5562 4.5562 8.5764
angles: 90.00 90.00 90.00
Fractional positions:
Ga 0.0000 0.0000 0.5000
Mg 0.5000 0.0000 0.7293
Cd 0.0000 0.5000 0.7263
Cd 0.5000 0.0000 0.2737
Mg 0.0000 0.5000 0.2707
In 0.5000 0.5000 0.0000
Ga 0.5000 0.5000 0.5000
In 0.0000 0.0000 0.0000

***

Quick look at relative energies in eV/atom: a 0.043; b 0.000.

***

a:
Computed, not measured: a relaxed structure of CdInGaPb at the PBE level of DFT.

abc: 3.3944 3.9203 7.9196
angles: 89.99 99.64 90.01
Fractional positions:
Cd 0.6212 0.9298 0.3053
In 0.5264 0.9295 0.8907
Pb 0.2003 0.4297 0.5630
Ga 0.0824 0.4295 0.1018

***

b:
Computed, not measured: a relaxed structure of CdInGaPb at the PBE level of DFT.

abc: 5.2604 5.2604 5.2604
angles: 60.00 60.00 60.00
Fractional positions:
Ga 0.2500 0.2500 0.2500
Pb 0.5000 0.5000 0.5000
Cd 0.7500 0.7500 0.7500
In 0.0000 0.0000 0.0000

***

Quick look at relative energies in eV/atom: a 0.010; b 0.000.